1.
## V2PtN (PBE-GGA)

Data for an optimized crystal structure of V2PtN.

```
V2PtN
1.0
4.913 0.000 0.000
0.000 4.913 0.000
2.456 2.456 4.958
V Pt N
4 2 2
Direct
0.526 0.125 0.250
0.224 0.625 0.250
0.375 0.474 0.750
0.875 0.776 0.750
0.000 0.000 0.000
0.750 0.250 0.500
0.500 0.500 0.000
0.250 0.750 0.500
```

Output
Crystal system: tetragonal
Space group: I-42d
Size of the total moment: 0.0 μB/cell
D(E_F): 3.22 states/eV/f.u.
Formation energy without anion corrections: -320 meV/atom



2.
## LaHgB3 (PBE-GGA)

Data for an optimized crystal structure of LaHgB3.

```
LaHgB3
1.0
4.892 0.000 0.000
0.000 4.892 0.000
0.000 0.000 4.892
B Hg La
3 1 1
Direct
0.000 0.500 0.000
0.000 0.000 0.500
0.500 0.000 0.000
0.500 0.500 0.500
0.000 0.000 0.000
```

Output
Crystal system: cubic
Energy relative to the elements: 11.44 eV/f.u.
Excess energy over the best structure of this formula in the dataset: 0.8233 eV/atom
Space group: Pm-3m
Size of the total moment: 0.0 μB/cell
D(E_F): 4.15 states/eV/f.u.



3.
## CaLa8Nd4 (PBE-GGA)

Data for an optimized crystal structure of CaLa8Nd4.

```
CaLa8Nd4
1.0
2.136 7.183 -9.320
-5.388 -10.542 -1.687
-3.262 0.498 7.308
Ca La Nd
1 8 4
Direct
0.000 0.500 0.500
0.537 0.768 0.305
0.463 0.232 0.695
0.330 0.165 0.001
0.164 0.329 0.999
0.670 0.835 0.999
0.164 0.835 0.999
0.836 0.165 0.001
0.836 0.671 0.001
0.000 0.000 0.000
0.000 0.500 0.000
0.500 0.500 0.000
0.500 0.000 0.000
```

Output
Crystal system: trigonal
Energy relative to the elements: 4.72 eV/f.u.
Space group: R-3m
Size of the total moment: 0.0 μB/cell
D(E_F): 28.41 states/eV/f.u.



4.
## Tl2CrCo (PBE-GGA)

Data for an optimized crystal structure of Tl2CrCo.

```
Tl2CrCo
1.0
9.177 -0.022 -0.013
8.638 3.099 -0.013
8.638 1.492 2.716
Co Cr Tl
1 1 2
Direct
0.487 0.487 0.487
0.765 0.765 0.765
0.011 0.011 0.011
0.237 0.237 0.237
```

Output
Crystal system: trigonal
Energy relative to the elements: 2.65 eV/f.u.
Excess energy over the best structure of this formula in the dataset: 0.1506 eV/atom
Space group: R3m
Size of the total moment: 3.1 μB/cell
D(E_F): 5.71 states/eV/f.u.



5.
## ScPaTc4 (PBE-GGA)

Data for an optimized crystal structure of ScPaTc4.

```
ScPaTc4
1.0
-3.014 2.300 -3.754
-5.139 -1.348 -0.492
-3.812 3.464 1.391
Sc Pa Tc
1 1 4
Direct
0.250 0.250 0.250
0.000 0.000 0.000
0.624 0.624 0.127
0.624 0.127 0.624
0.624 0.624 0.624
0.127 0.624 0.624
```

Output
Crystal system: cubic
Energy relative to the elements: -0.86 eV/f.u.
Space group: F-43m
Size of the total moment: 0.0 μB/cell
D(E_F): 12.29 states/eV/f.u.



6.
## PmSm2Dy2Sc2 (PBE-GGA)

Data for an optimized crystal structure of PmSm2Dy2Sc2.

```
PmSm2Dy2Sc2
1.0
-3.319 0.349 -0.653
3.283 -0.638 -8.175
-1.525 -7.162 3.927
Pm Sm Dy Sc
1 2 2 2
Direct
0.000 0.000 0.500
0.572 0.144 0.914
0.428 0.856 0.086
0.213 0.426 0.790
0.787 0.574 0.210
0.652 0.304 0.394
0.348 0.696 0.606
```

Output
Crystal system: monoclinic
Energy relative to the elements: 1.28 eV/f.u.
Space group: C2/m
Size of the total moment: 0.0 μB/cell
D(E_F): 11.88 states/eV/f.u.



7.
## Th2PaAu6 (PBE-GGA)

Data for an optimized crystal structure of Th2PaAu6.

```
Th2PaAu6
1.0
-2.574 2.013 0.662
-4.506 -3.823 -5.899
-0.173 -2.808 7.861
Th Pa Au
2 1 6
Direct
0.000 0.333 0.667
0.000 0.667 0.333
0.000 0.000 0.000
0.500 0.332 0.332
0.500 0.668 0.668
0.500 0.000 0.668
0.500 0.668 0.000
0.500 0.332 0.000
0.500 0.000 0.332
```

Output
Crystal system: hexagonal
Energy relative to the elements: -5.62 eV/f.u.
Space group: P6/mmm
Size of the total moment: 0.8 μB/cell
D(E_F): 7.62 states/eV/f.u.



8.
## LiDyLuMo (PBE-GGA)

Data for an optimized crystal structure of LiDyLuMo.

```
LiDyLuMo
1.0
4.972 0.000 0.000
2.486 4.306 0.000
2.486 1.435 4.060
Mo Lu Dy Li
1 1 1 1
Direct
0.250 0.250 0.250
0.000 0.000 0.000
0.500 0.500 0.500
0.750 0.750 0.750
```

Output
Crystal system: cubic
Energy relative to the elements: 0.99 eV/f.u.
Space group: F-43m
Size of the total moment: 1.1 μB/cell
D(E_F): 6.18 states/eV/f.u.



Which value of size of the total moment does entry 6 give? 0.0 μB/cell



Which of these has the lowest D(E_F)? V2PtN



Copy entry 5 word for word.
## ScPaTc4 (PBE-GGA)

Data for an optimized crystal structure of ScPaTc4.

```
ScPaTc4
1.0
-3.014 2.300 -3.754
-5.139 -1.348 -0.492
-3.812 3.464 1.391
Sc Pa Tc
1 1 4
Direct
0.250 0.250 0.250
0.000 0.000 0.000
0.624 0.624 0.127
0.624 0.127 0.624
0.624 0.624 0.624
0.127 0.624 0.624
```

Output
Crystal system: cubic
Energy relative to the elements: -0.86 eV/f.u.
Space group: F-43m
Size of the total moment: 0.0 μB/cell
D(E_F): 12.29 states/eV/f.u.